# 1
# Mn2Te

Mn2Te after structural relaxation (PBE-GGA, Alexandria).

Cell and atoms, written as CIF:
```
data_Mn2Te
_space_group_name_H-M_alt 'P 1'
_space_group_IT_number 1
_space_group_name_Hall 'P 1'
_cell_length_a 4.648
_cell_length_b 4.648
_cell_length_c 5.540
_cell_angle_alpha 90.00
_cell_angle_beta 90.00
_cell_angle_gamma 120.00
loop_
_atom_site_label
_atom_site_type_symbol
_atom_site_fract_x
_atom_site_fract_y
_atom_site_fract_z
Mn1 Mn 0.000 0.000 0.000
Mn2 Mn 0.000 0.000 0.500
Mn3 Mn 0.333 0.667 0.250
Mn4 Mn 0.667 0.333 0.750
Te1 Te 0.667 0.333 0.250
Te2 Te 0.333 0.667 0.750
```

Values from the calculation:
* formation energy (no corrections): 0.334 eV per atom
* total moment: 2.270 μB/atom
* space group: P6_3/mmc, No. 194

***

# 2
# MnTe

MnTe after structural relaxation (PBE-GGA, Alexandria).

Cell and atoms, written as CIF:
```
data_MnTe
_space_group_name_H-M_alt 'P 1'
_space_group_IT_number 1
_space_group_name_Hall 'P 1'
_cell_length_a 4.500
_cell_length_b 6.734
_cell_length_c 13.861
_cell_angle_alpha 90.00
_cell_angle_beta 90.00
_cell_angle_gamma 90.00
loop_
_atom_site_label
_atom_site_type_symbol
_atom_site_fract_x
_atom_site_fract_y
_atom_site_fract_z
Mn1 Mn 0.000 0.929 0.649
Mn2 Mn 0.500 0.071 0.851
Mn3 Mn 0.500 0.071 0.149
Mn4 Mn 0.000 0.929 0.351
Mn5 Mn 0.000 0.575 0.000
Mn6 Mn 0.500 0.425 0.500
Te1 Te 0.000 0.831 0.845
Te2 Te 0.500 0.169 0.655
Te3 Te 0.500 0.169 0.345
Te4 Te 0.000 0.831 0.155
Te5 Te 0.000 0.659 0.500
Te6 Te 0.500 0.341 0.000
```

Values from the calculation:
* formation energy (no corrections): 0.006 eV per atom
* total moment: 2.491 μB/atom
* space group: Pmmn, No. 59